This record from the Alexandria database describes crystalline La2Zn2InPd5 at its relaxed geometry. The functional is PBE.

The space group is P4/mbm (No. 127) and the conventional cell measures 10.038, 10.038 and 3.842 Å, with angles of 90.00, 90.00 and 90.00 degrees. The distinct sites, in fractional coordinates, are La at (0.179, 0.321, 0.000), Zn at (0.118, 0.618, 0.000), In at (0.000, 0.000, 0.000), Pd at (0.000, 0.500, 0.500) and Pd at (0.065, 0.789, 0.500).


This record from the Alexandria database describes crystalline La5Pm4In4 at its relaxed geometry. The functional is PBE.

The space group is I4/m (No. 87) and the conventional cell measures 12.746, 12.746 and 5.254 Å, with angles of 90.00, 90.00 and 90.00 degrees. The distinct sites, in fractional coordinates, are La at (0.000, 0.000, 0.000), La at (0.097, 0.193, 0.500), Pm at (0.092, 0.387, 0.000) and In at (0.109, 0.765, 0.000).


This record from the Alexandria database describes crystalline LaPmIn4 at its relaxed geometry. The functional is PBE.

The energy relative to the lowest polymorph listed for this composition comes out at 42 meV per atom.

The space group is F-43m (No. 216) and the conventional cell measures 8.650, 8.650 and 8.650 Å, with angles of 90.00, 90.00 and 90.00 degrees. The distinct sites, in fractional coordinates, are La at (0.000, 0.000, 0.000), Pm at (0.250, 0.250, 0.750) and In at (0.125, 0.125, 0.375).


This record from the Alexandria database describes crystalline LaPmIn6 at its relaxed geometry. The functional is PBE.

The energy relative to the lowest polymorph listed for this composition comes out at 0 meV per atom.

The space group is P4/mmm (No. 123) and the conventional cell measures 4.744, 4.744 and 9.482 Å, with angles of 90.00, 90.00 and 90.00 degrees. The distinct sites, in fractional coordinates, are La at (0.000, 0.000, 0.000), Pm at (0.000, 0.000, 0.500), In at (0.000, 0.500, 0.254), In at (0.500, 0.500, 0.000) and In at (0.500, 0.500, 0.500).


What did we get for DOS(E_F)? Answer: 4.8 16.9 4.7 4.4 states/eV/f.u., in the order shown.
What did we get for ΔH_f (0 K)? Answer: -0.673 -0.316 -0.445 -0.478 eV per atom, in the order shown.